Entry from Alexandria via LeMat-Bulk: an optimized crystal structure of Cs3Rb3CoF8 (PBE+U).

The total DFT energy (no corrections) is -4.25 eV per atom. As for the density of states at the Fermi level: 0.0 states/eV/f.u.

The structure in POSCAR format:
```
Cs3Rb3CoF8
1.0
6.930 -3.994 0.000
6.930 3.994 0.000
-4.633 0.000 6.753
Cs Rb Co F
3 3 1 8
direct
0.000 0.000 0.000
0.000 0.500 0.000
0.500 0.000 0.000
0.000 0.500 0.500
0.500 0.000 0.500
0.500 0.500 0.500
0.000 0.000 0.500
0.186 0.186 0.679
0.187 0.806 0.681
0.194 0.813 0.319
0.256 0.256 0.269
0.744 0.744 0.731
0.806 0.187 0.681
0.813 0.194 0.319
0.814 0.814 0.321
```